Here is RbErZnF6 after structural relaxation from Alexandria via LeMat-Bulk. Energies are from PBE.

abc: 8.095 7.624 7.856
angles: 119.03 121.01 90.00
Fractional positions:
Er 0.000 0.000 0.500
F 0.186 0.905 0.735
F 0.450 0.700 0.901
Rb 0.802 0.552 0.604
Er 0.500 0.000 0.500
Rb 0.198 0.448 0.396
F 0.451 0.095 0.265
F 0.825 0.075 0.650
F 0.814 0.095 0.265
F 0.175 0.925 0.350
F 0.549 0.330 0.735
F 0.550 0.300 0.099
Zn 0.500 0.000 0.000
F 0.549 0.905 0.735
F 0.451 0.670 0.265
F 0.814 0.670 0.265
F 0.186 0.330 0.735
Zn 0.500 0.500 0.000

Calculated values
* calculated total energy: -5.2313 eV/atom
* DOS at the Fermi energy: 0.00 states/eV/f.u.

***

Here is RbErZn2F8 after structural relaxation from Alexandria via LeMat-Bulk. Energies are from PBE.

abc: 5.327 5.327 9.113
angles: 73.01 73.01 60.00
Fractional positions:
Zn 0.748 0.748 0.757
F 0.756 0.461 0.660
F 0.539 0.244 0.340
F 0.676 0.676 0.973
F 0.123 0.756 0.660
F 0.324 0.324 0.027
Zn 0.252 0.252 0.243
F 0.244 0.877 0.340
Er 0.500 0.500 0.500
Rb 0.000 0.000 0.000
F 0.877 0.539 0.340
F 0.461 0.123 0.660

Calculated values
* calculated total energy: -4.8453 eV/atom
* DOS at the Fermi energy: 0.00 states/eV/f.u.